RbNa3I4: relaxed, PBE-GGA.

Volume in A^3/atom: 39.08
Formation energy without anion corrections in eV/atom: -1.291
Density in g cm⁻³: 3.5

Cell lengths 8.336, 8.336, 4.760 Å; angles 90.06, 90.06, 70.92 degrees
Fractional positions:
Rb 0.000 0.000 0.000
Na 0.000 0.500 0.500
Na 0.500 0.000 0.500
Na 0.500 0.500 0.000
I 0.262 0.262 0.998
I 0.274 0.726 0.500
I 0.726 0.274 0.500
I 0.738 0.738 0.002

RbNa3I: relaxed, PBE-GGA.

Volume in A^3/atom: 66.89
Formation energy without anion corrections in eV/atom: 0.195
Density in g cm⁻³: 1.4
Excess energy over the best structure of this formula in the dataset in eV per atom: 0.487

Cell lengths 6.941, 6.941, 6.941 Å; angles 90.00, 90.00, 90.00 degrees
Fractional positions:
Rb 0.000 0.000 0.000
Na 0.000 0.000 0.500
Na 0.000 0.500 0.000
Na 0.500 0.000 0.000
I 0.500 0.500 0.500

Rb2Na3I5: relaxed, PBE-GGA.

Volume in A^3/atom: 42.41
Formation energy without anion corrections in eV/atom: -1.338
Density in g cm⁻³: 3.4

Cell lengths 8.938, 8.938, 12.211 Å; angles 123.22, 123.22, 31.94 degrees
Fractional positions:
Rb 0.171 0.171 0.267
Rb 0.829 0.829 0.733
Na 0.000 0.000 0.500
Na 0.385 0.385 0.127
Na 0.615 0.615 0.873
I 0.193 0.193 0.809
I 0.413 0.413 0.585
I 0.500 0.500 0.000
I 0.587 0.587 0.415
I 0.807 0.807 0.191

Rb2NaI7: relaxed, PBE-GGA.

Volume in A^3/atom: 51.49
Formation energy without anion corrections in eV/atom: -0.698
Density in g cm⁻³: 3.5

Cell lengths 9.204, 9.204, 9.204 Å; angles 123.92, 123.92, 83.33 degrees
Fractional positions:
Rb 0.250 0.750 0.500
Rb 0.750 0.250 0.500
Na 0.000 0.000 0.000
I 0.216 0.216 0.000
I 0.261 0.261 0.523
I 0.261 0.739 0.000
I 0.500 0.500 0.000
I 0.739 0.261 0.000
I 0.739 0.739 0.477
I 0.784 0.784 0.000

RbNaI2: relaxed, PBE-GGA.

Volume in A^3/atom: 48.73
Formation energy without anion corrections in eV/atom: -1.317
Density in g cm⁻³: 3.1
Excess energy over the best structure of this formula in the dataset in eV per atom: 0.042

Cell lengths 8.005, 8.005, 8.005 Å; angles 113.39, 113.39, 101.89 degrees
Fractional positions:
Rb 0.000 0.000 0.000
Rb 0.750 0.250 0.500
Na 0.250 0.750 0.500
Na 0.500 0.500 0.000
I 0.173 0.125 0.548
I 0.375 0.827 0.952
I 0.577 0.625 0.452
I 0.875 0.423 0.048

RbNa2I3: relaxed, PBE-GGA.

Volume in A^3/atom: 41.84
Formation energy without anion corrections in eV/atom: -1.291
Density in g cm⁻³: 3.4
Excess energy over the best structure of this formula in the dataset in eV per atom: 0.000

Cell lengths 8.625, 8.625, 12.088 Å; angles 90.00, 90.00, 146.06 degrees
Fractional positions:
Rb 0.240 0.760 0.750
Rb 0.760 0.240 0.250
Na 0.000 0.000 0.000
Na 0.000 0.000 0.500
Na 0.487 0.513 0.250
Na 0.513 0.487 0.750
I 0.088 0.912 0.250
I 0.372 0.628 0.057
I 0.372 0.628 0.443
I 0.628 0.372 0.557
I 0.628 0.372 0.943
I 0.912 0.088 0.750

Rb5Na3I12: relaxed, PBE-GGA.

Volume in A^3/atom: 55.93
Formation energy without anion corrections in eV/atom: -0.908
Density in g cm⁻³: 3.0

Cell lengths 17.980, 17.980, 17.980 Å; angles 109.47, 109.47, 109.47 degrees
Fractional positions:
Rb 0.000 0.000 0.000
Rb 0.000 0.000 0.500
Rb 0.000 0.500 0.000
Rb 0.000 0.500 0.500
Rb 0.125 0.750 0.875
Rb 0.125 0.875 0.250
Rb 0.250 0.125 0.875
Rb 0.250 0.625 0.375
Rb 0.375 0.250 0.625
Rb 0.375 0.625 0.750
Rb 0.500 0.000 0.000
Rb 0.500 0.000 0.500
Rb 0.500 0.500 0.000
Rb 0.500 0.500 0.500
Rb 0.625 0.375 0.250
Rb 0.625 0.750 0.375
Rb 0.750 0.375 0.625
Rb 0.750 0.875 0.125
Rb 0.875 0.125 0.750
Rb 0.875 0.250 0.125
Na 0.125 0.250 0.375
Na 0.125 0.375 0.750
Na 0.250 0.375 0.125
Na 0.250 0.875 0.625
Na 0.375 0.125 0.250
Na 0.375 0.750 0.125
Na 0.625 0.250 0.875
Na 0.625 0.875 0.750
Na 0.750 0.125 0.375
Na 0.750 0.625 0.875
Na 0.875 0.625 0.250
Na 0.875 0.750 0.625
I 0.045 0.619 0.369
I 0.045 0.926 0.677
I 0.074 0.250 0.119
I 0.074 0.323 0.955
I 0.119 0.074 0.250
I 0.119 0.545 0.869
I 0.131 0.750 0.677
I 0.131 0.881 0.455
I 0.177 0.250 0.631
I 0.177 0.426 0.545
I 0.250 0.119 0.074
I 0.250 0.323 0.869
I 0.250 0.426 0.381
I 0.250 0.631 0.177
I 0.323 0.869 0.250
I 0.323 0.955 0.074
I 0.369 0.045 0.619
I 0.369 0.823 0.750
I 0.381 0.250 0.426
I 0.381 0.631 0.955
I 0.426 0.381 0.250
I 0.426 0.545 0.177
I 0.455 0.131 0.881
I 0.455 0.823 0.574
I 0.545 0.177 0.426
I 0.545 0.869 0.119
I 0.574 0.455 0.823
I 0.574 0.619 0.750
I 0.619 0.369 0.045
I 0.619 0.750 0.574
I 0.631 0.177 0.250
I 0.631 0.955 0.381
I 0.677 0.045 0.926
I 0.677 0.131 0.750
I 0.750 0.369 0.823
I 0.750 0.574 0.619
I 0.750 0.677 0.131
I 0.750 0.881 0.926
I 0.823 0.574 0.455
I 0.823 0.750 0.369
I 0.869 0.119 0.545
I 0.869 0.250 0.323
I 0.881 0.455 0.131
I 0.881 0.926 0.750
I 0.926 0.677 0.045
I 0.926 0.750 0.881
I 0.955 0.074 0.323
I 0.955 0.381 0.631

Rb2Na2I: relaxed, PBE-GGA.

Volume in A^3/atom: 54.13
Formation energy without anion corrections in eV/atom: -0.364
Density in g cm⁻³: 2.1
Excess energy over the best structure of this formula in the dataset in eV per atom: 0.005

Cell lengths 9.081, 9.081, 6.564 Å; angles 90.00, 90.00, 90.00 degrees
Fractional positions:
Rb 0.180 0.320 0.000
Rb 0.320 0.820 0.000
Rb 0.680 0.180 0.000
Rb 0.820 0.680 0.000
Na 0.132 0.632 0.500
Na 0.368 0.132 0.500
Na 0.632 0.868 0.500
Na 0.868 0.368 0.500
I 0.000 0.000 0.500
I 0.500 0.500 0.500